(1)
# Hf2ScNi3

A relaxed structure of Hf2ScNi3 (PBE-GGA, the Alexandria database).

The value obtained for the magnetic moment is 0.0 μB/f.u. The calculation puts the formation enthalpy at 0 K at -45.0 kJ/mol of atoms.

Structure (POSCAR):
```
Hf2ScNi3
1.0
3.919 -6.734 0.000
3.919 6.734 0.000
-2.535 0.000 3.673
Hf Sc Ni
4 2 6
Cartesian
2.019 5.600 2.754
3.286 3.267 0.918
2.019 -3.267 2.754
3.286 -5.600 0.918
2.019 1.048 2.754
3.286 -1.048 0.918
0.692 3.367 1.836
-0.719 1.260 3.570
0.548 -1.260 1.734
1.960 -3.367 0.000
4.756 1.260 1.939
6.024 -1.260 0.103
```

***

(2)
# TbIn5Br8

A relaxed structure of TbIn5Br8 (PBE-GGA, the Alexandria database).

The value obtained for the formation energy from raw total energies is -0.97 eV per atom. The value obtained for the magnetic moment is 0.0 μB/f.u.

Structure (POSCAR):
```
TbIn5Br8
1.0
-4.832 4.832 5.056
4.832 -4.832 5.056
4.832 4.832 -5.056
Tb In Br
1 5 8
Cartesian
0.000 0.000 0.000
6.058 2.553 -1.241
4.832 0.000 2.528
2.553 3.606 1.241
-1.226 2.279 3.815
2.279 1.226 6.298
3.178 4.221 -2.480
1.655 0.611 2.576
-0.699 2.724 0.756
5.444 3.178 2.480
0.699 6.941 0.756
2.109 4.134 4.301
-0.611 1.655 7.537
-2.109 5.531 4.301
```

***

(3)
# ErGa2Tc

A relaxed structure of ErGa2Tc (PBE-GGA, the Alexandria database).

The energy above the most stable polymorph in this dataset is 358.2 meV per atom. The value obtained for the magnetic moment is 0.0 μB/f.u. The calculation puts the formation enthalpy at 0 K at -10.3 kJ/mol of atoms.

Structure (POSCAR):
```
ErGa2Tc
1.0
1.820 1.051 6.867
-1.820 1.051 6.867
0.000 -2.101 6.867
Er Ga Tc
1 2 1
Cartesian
0.000 0.000 0.000
0.000 0.000 4.856
0.000 0.000 15.745
0.000 0.000 10.300
```

***

(4)
# NaSrAcIr

A relaxed structure of NaSrAcIr (PBE-GGA, the Alexandria database).

The energy above the most stable polymorph in this dataset is 206.3 meV per atom. The value obtained for the magnetic moment is 0.0 μB/f.u. The calculation puts the formation enthalpy at 0 K at -5.4 kJ/mol of atoms.

Structure (POSCAR):
```
NaSrAcIr
1.0
0.000 3.832 3.832
3.832 0.000 3.832
3.832 3.832 0.000
Na Sr Ac Ir
1 1 1 1
Cartesian
0.000 0.000 0.000
1.916 1.916 1.916
5.749 5.749 5.749
3.832 3.832 3.832
```

***

(5)
# Ca2NpPaBi4

A relaxed structure of Ca2NpPaBi4 (PBE-GGA, the Alexandria database).

The value obtained for the magnetic moment is 4.1 μB/f.u. The calculation puts the formation enthalpy at 0 K at -39.5 kJ/mol of atoms.

Structure (POSCAR):
```
Ca2NpPaBi4
1.0
7.898 0.000 0.000
0.000 4.569 0.000
-2.640 0.000 7.453
Ca Np Pa Bi
2 1 1 4
Cartesian
0.000 0.000 0.000
3.949 2.285 0.000
-1.320 2.285 3.726
2.629 0.000 3.726
0.036 0.000 5.501
1.358 2.285 1.958
3.900 2.285 5.495
5.222 0.000 1.952
```

***

(6)
# Ce2NF2

A relaxed structure of Ce2NF2 (PBE-GGA, the Alexandria database).

The value obtained for the formation energy from raw total energies is -2.43 eV per atom. The value obtained for the magnetic moment is 2.9 μB/f.u.

Structure (POSCAR):
```
Ce2NF2
1.0
3.646 0.000 0.000
-1.823 3.158 0.000
0.000 0.000 15.958
Ce N F
4 2 4
Cartesian
0.000 0.000 2.511
0.000 0.000 5.468
0.000 0.000 10.490
0.000 0.000 13.447
0.000 2.105 3.990
1.823 1.053 11.969
0.000 2.105 9.237
0.000 2.105 14.700
1.823 1.053 1.258
1.823 1.053 6.721
```

***

(7)
# Pu4P3H2

A relaxed structure of Pu4P3H2 (PBE-GGA, the Alexandria database).

For the calculated total energy, the calculation gives -9.768 eV per atom. The value obtained for the magnetic moment is 21.0 μB/f.u.

Structure (POSCAR):
```
Pu4P3H2
1.0
6.951 -1.895 0.000
6.951 1.895 0.000
-2.504 0.000 6.309
Pu P H
4 3 2
Cartesian
-0.377 0.000 1.381
3.234 0.000 1.805
8.164 0.000 4.505
11.775 0.000 4.929
2.717 0.000 5.920
5.699 0.000 3.155
8.680 0.000 0.390
1.284 0.000 3.088
10.114 0.000 3.222
```

***

(8)
# Nd3GeTe2

A relaxed structure of Nd3GeTe2 (PBE-GGA, the Alexandria database).

The value obtained for the formation energy from raw total energies is -1.34 eV per atom. The energy above the most stable polymorph in this dataset is 0.0 meV per atom. The value obtained for the magnetic moment is 0.0 μB/f.u.

Structure (POSCAR):
```
Nd3GeTe2
1.0
0.000 6.294 13.296
4.465 0.000 13.296
4.465 6.294 0.000
Nd Ge Te
12 4 8
Cartesian
3.250 1.435 7.642
5.789 4.721 9.972
3.448 1.435 12.302
5.680 4.582 14.290
8.022 7.868 16.620
5.482 4.582 18.950
3.448 8.006 7.642
0.908 4.721 9.972
3.250 8.006 12.302
5.482 11.153 14.290
3.140 7.868 16.620
5.680 11.153 18.950
1.116 1.574 1.101
1.116 1.574 5.547
7.813 11.015 21.045
7.813 11.015 25.491
3.349 4.721 3.391
3.349 4.721 7.821
5.581 7.868 10.039
3.349 4.721 12.123
5.581 7.868 14.469
3.349 4.721 16.553
5.581 7.868 18.771
5.581 7.868 23.201
```

***

(9)
# Dy14YTm

A relaxed structure of Dy14YTm (PBE-GGA, the Alexandria database).

The value obtained for the magnetic moment is 0.0 μB/f.u. The calculation puts the formation enthalpy at 0 K at 0.2 kJ/mol of atoms.

Structure (POSCAR):
```
Dy14YTm
1.0
11.438 0.000 0.000
0.000 3.557 6.159
0.000 -3.557 6.159
Dy Y Tm
14 1 1
Cartesian
0.000 0.000 12.318
0.000 1.776 9.238
0.000 -1.776 9.238
0.000 0.000 6.159
2.852 0.000 4.109
2.861 -1.774 7.186
2.861 1.774 7.186
2.870 0.000 10.266
5.719 -1.775 5.135
5.719 1.775 5.135
8.569 0.000 10.266
8.577 -1.774 7.186
8.577 1.774 7.186
8.587 0.000 4.109
5.719 0.000 2.055
5.719 0.000 8.212
```

***

(10)
# ScCu

A relaxed structure of ScCu (PBE-GGA, the Alexandria database).

The value obtained for the magnetic moment is 0.0 μB/f.u. The calculation puts the formation enthalpy at 0 K at -9.3 kJ/mol of atoms.

Structure (POSCAR):
```
ScCu
1.0
0.000 4.077 5.235
3.491 0.000 5.235
3.491 4.077 0.000
Sc Cu
4 4
Cartesian
2.618 0.617 3.926
4.363 2.656 6.544
2.618 5.498 3.926
4.363 7.536 6.544
3.853 3.058 3.926
5.599 5.096 6.544
1.382 3.058 3.926
3.128 5.096 6.544
```

***

(11)
# Tb5PmTlIn2

A relaxed structure of Tb5PmTlIn2 (PBE-GGA, the Alexandria database).

The value obtained for the magnetic moment is 0.0 μB/f.u. The calculation puts the formation enthalpy at 0 K at -7.0 kJ/mol of atoms.

Structure (POSCAR):
```
Tb5PmTlIn2
1.0
-4.315 4.315 7.091
4.315 -4.315 7.091
4.315 4.315 -7.091
Tb Pm Tl In
10 2 2 4
Cartesian
0.000 0.000 0.000
6.097 1.783 -1.888
1.783 2.532 -1.888
6.097 1.783 1.888
1.783 2.532 1.888
0.000 0.000 7.091
2.532 1.783 5.204
-1.783 2.532 5.204
2.532 1.783 8.979
-1.783 2.532 8.979
4.315 0.000 3.546
0.000 4.315 3.546
0.000 0.000 3.546
0.000 0.000 10.637
3.363 0.951 0.000
3.363 -0.951 7.091
0.951 5.266 0.000
0.951 3.363 7.091
```

***

(12)
# Y6ThSc3

A relaxed structure of Y6ThSc3 (PBE-GGA, the Alexandria database).

The energy above the most stable polymorph in this dataset is 6.9 meV per atom. The value obtained for the magnetic moment is 0.0 μB/f.u. The calculation puts the formation enthalpy at 0 K at 18.0 kJ/mol of atoms.

Structure (POSCAR):
```
Y6ThSc3
1.0
4.828 2.787 3.790
-4.828 2.787 3.790
0.000 -5.575 3.790
Y Th Sc
6 1 3
Cartesian
-1.640 -2.734 3.790
-3.253 0.000 5.685
-1.548 2.787 3.790
1.626 -2.817 5.685
3.188 -0.053 3.790
1.626 2.817 5.685
0.000 0.000 0.000
0.000 0.000 2.993
0.000 0.000 5.685
0.000 0.000 8.378
```

***

(13)
# TiNi2Pd8

A relaxed structure of TiNi2Pd8 (PBE-GGA, the Alexandria database).

The value obtained for the magnetic moment is 1.3 μB/f.u. The calculation puts the formation enthalpy at 0 K at 12.2 kJ/mol of atoms.

Structure (POSCAR):
```
TiNi2Pd8
1.0
4.856 -4.366 0.000
4.856 4.366 0.000
-1.239 0.000 4.359
Ti Ni Pd
1 2 8
Cartesian
0.000 0.000 0.000
0.643 0.000 2.309
7.830 0.000 2.050
3.747 2.250 0.891
2.409 0.000 0.476
4.727 2.250 3.468
3.176 0.000 3.054
5.297 0.000 1.305
3.747 -2.250 0.891
6.064 0.000 3.883
4.727 -2.250 3.468
```

***

(14)
# Ba3GeI

A relaxed structure of Ba3GeI (PBE-GGA, the Alexandria database).

The value obtained for the formation energy from raw total energies is -0.68 eV per atom. The energy above the most stable polymorph in this dataset is 80.7 meV per atom. The value obtained for the magnetic moment is 0.0 μB/f.u.

Structure (POSCAR):
```
Ba3GeI
1.0
7.880 -4.335 0.000
7.880 4.335 0.000
-4.233 0.000 8.299
Ba Ge I
6 2 2
Cartesian
-0.043 0.000 2.027
3.940 2.176 2.081
7.588 2.176 6.218
3.940 -2.176 2.081
7.588 -2.176 6.218
11.571 0.000 6.272
2.592 0.000 0.065
8.936 0.000 8.234
2.332 0.000 4.905
9.196 0.000 3.394
```

***

(15)
# PmPCl

A relaxed structure of PmPCl (PBE-GGA, the Alexandria database).

The value obtained for the formation energy from raw total energies is -1.59 eV per atom. The energy above the most stable polymorph in this dataset is 0.0 meV per atom. The value obtained for the magnetic moment is 0.0 μB/f.u.

Structure (POSCAR):
```
PmPCl
1.0
3.390 -6.961 0.000
3.390 6.961 0.000
-2.250 0.000 3.205
Pm P Cl
2 2 2
Cartesian
3.390 5.144 0.000
3.390 -5.144 0.000
-0.253 0.000 2.316
4.783 0.000 0.889
2.265 2.978 1.602
2.265 -2.978 1.602
```

***

(16)
# Ac2HgAu

A relaxed structure of Ac2HgAu (PBE-GGA, the Alexandria database).

The energy above the most stable polymorph in this dataset is 87.1 meV per atom. The value obtained for the magnetic moment is 0.0 μB/f.u. The calculation puts the formation enthalpy at 0 K at -52.7 kJ/mol of atoms.

Structure (POSCAR):
```
Ac2HgAu
1.0
3.854 -2.221 0.000
3.854 2.221 0.000
-2.576 0.000 8.345
Ac Hg Au
2 1 1
Cartesian
0.000 0.000 0.000
-0.005 0.000 4.553
2.567 0.000 2.276
2.563 0.000 6.432
```

***

(17)
# Y4Ga2Sn5

A relaxed structure of Y4Ga2Sn5 (PBE-GGA, the Alexandria database).

The value obtained for the magnetic moment is 0.0 μB/f.u. The calculation puts the formation enthalpy at 0 K at -59.9 kJ/mol of atoms.

Structure (POSCAR):
```
Y4Ga2Sn5
1.0
7.408 0.000 0.000
0.000 4.268 0.000
-0.296 0.000 8.873
Y Ga Sn
4 2 5
Cartesian
1.523 0.000 3.215
1.467 0.000 8.024
5.645 0.000 0.849
5.589 0.000 5.659
0.604 2.134 1.097
6.508 2.134 7.777
0.757 2.134 5.615
3.307 2.134 1.428
3.556 2.134 4.437
3.805 2.134 7.446
6.355 2.134 3.259
```

***

(18)
# Ce7Ga2Pt2

A relaxed structure of Ce7Ga2Pt2 (PBE-GGA, the Alexandria database).

The energy above the most stable polymorph in this dataset is 0.0 meV per atom. The value obtained for the magnetic moment is 2.6 μB/f.u. The calculation puts the formation enthalpy at 0 K at -49.4 kJ/mol of atoms.

Structure (POSCAR):
```
Ce7Ga2Pt2
1.0
-2.193 7.725 4.024
2.193 -7.725 4.024
2.193 7.725 -4.024
Ce Ga Pt
7 2 2
Cartesian
0.000 0.000 0.000
2.193 2.519 -1.171
2.193 -2.174 2.461
2.193 2.174 2.461
2.193 5.520 1.101
0.000 5.206 2.853
0.000 2.205 5.125
0.000 0.000 3.097
0.000 7.725 1.032
0.000 3.136 0.587
0.000 12.314 0.587
```

***

(19)
# MnAl2Se

A relaxed structure of MnAl2Se (PBE-GGA, the Alexandria database).

The value obtained for the formation energy from raw total energies is 0.27 eV per atom. The value obtained for the magnetic moment is 3.3 μB/f.u.

Structure (POSCAR):
```
MnAl2Se
1.0
0.000 3.267 3.267
3.267 0.000 3.267
3.267 3.267 0.000
Mn Al Se
1 2 1
Cartesian
0.000 0.000 0.000
1.634 1.634 1.634
3.267 3.267 3.267
4.901 4.901 4.901
```

***

(20)
# PmErPd

A relaxed structure of PmErPd (PBE-GGA, the Alexandria database).

The energy above the most stable polymorph in this dataset is 132.3 meV per atom. The value obtained for the magnetic moment is 0.0 μB/f.u. The calculation puts the formation enthalpy at 0 K at -38.3 kJ/mol of atoms.

Structure (POSCAR):
```
PmErPd
1.0
4.779 0.000 0.000
-2.390 4.139 0.000
0.000 0.000 3.940
Pm Er Pd
1 1 1
Cartesian
0.000 0.000 0.000
2.390 1.380 2.081
0.000 2.759 1.365
```